*1*
## FeTe6Pd2 (PBE)

Data for a relaxed structure of FeTe6Pd2.

abc: 6.1879 6.1879 12.4685
angles: 90.00 90.00 90.00
Closest atoms and distances in Å follow each position.
Space group P4_2/mnm (No. 136)
Unique sites:
Fe  0.0000  0.0000  0.0000  6 Te 2.58-2.62
Te  0.1884  0.1884  0.1586  1 Fe 2.58, 2 Pd 2.73
Te  0.2008  0.2008  0.5000  1 Fe 2.62, 2 Pd 2.72
Pd  0.0000  0.0000  0.3332  6 Te 2.72-2.73

Computed properties:
total magnetization: 2.73 μB/f.u.

=====

*2*
## FeTe6Pd2 (PBE)

Data for a relaxed structure of FeTe6Pd2.

abc: 12.8361 3.9712 8.7509
angles: 90.00 94.19 90.00
Closest atoms and distances in Å follow each position.
Space group C2/m (No. 12)
Unique sites:
Fe  0.0000  0.0000  0.0000  6 Te 2.56-2.60
Te  0.0296  0.5000  0.8164  2 Fe 2.60, 1 Pd 2.73
Te  0.1357  0.0000  0.5327  3 Pd 2.71-2.74
Te  0.1877  0.0000  0.1215  1 Fe 2.56, 2 Pd 2.73
Pd  0.1655  0.5000  0.3299  6 Te 2.71-2.74

Computed properties:
total magnetization: 0.76 μB/f.u.

=====

Which one is most stable, and which one is least stable? *2* is the most stable of them, while *1* is the least stable.

=====

*1*
## TiFePd4 (PBE)

Data for a relaxed structure of TiFePd4.

abc: 3.9321 11.4659 3.9432
angles: 90.00 90.00 90.00
Closest atoms and distances in Å follow each position.
Space group Cmmm (No. 65)
Unique sites:
Ti  0.0000  0.0000  0.0000  8 Pd 2.67-2.69, 4 Fe 2.78
Fe  0.0000  0.5000  0.5000  8 Pd 2.67-2.69, 4 Ti 2.78
Pd  0.0000  0.1595  0.5000  2 Fe 2.69, 2 Ti 2.69, 8 Pd 2.78-2.88
Pd  0.0000  0.3430  0.0000  2 Ti 2.67, 2 Fe 2.67, 8 Pd 2.78-2.90

Computed properties:
total magnetization: 2.70 μB/f.u.

=====

*2*
## TiFePd4 (PBE)

Data for a relaxed structure of TiFePd4.

abc: 7.4817 2.7711 17.3091
angles: 90.00 90.00 90.00
Closest atoms and distances in Å follow each position.
Space group Pnma (No. 62)
Unique sites:
Ti  0.2489  0.2500  0.0619  9 Pd 2.64-2.76, 2 Ti 2.77
Fe  0.2461  0.2500  0.8116  9 Pd 2.58-2.81, 2 Fe 2.77
Pd  0.0575  0.7500  0.4339  1 Fe 2.58, 3 Ti 2.65-2.69, 6 Pd 2.77-2.84
Pd  0.0693  0.7500  0.6981  1 Ti 2.72, 4 Fe 2.74-2.79, 8 Pd 2.77-2.87
Pd  0.1010  0.7500  0.1765  2 Fe 2.60, 2 Ti 2.66, 8 Pd 2.77-2.87
Pd  0.1037  0.7500  0.9390  3 Ti 2.64-2.76, 6 Pd 2.77-2.89, 2 Fe 2.81

Computed properties:
total magnetization: 3.24 μB/f.u.

=====

Which one is most stable, and which one is least stable? *1* is the most stable of them, while *2* is the least stable.

=====

*1*
## Y2TiFePd (PBE)

Data for a relaxed structure of Y2TiFePd.

abc: 5.2264 5.2264 4.2745
angles: 90.00 90.00 90.00
Closest atoms and distances in Å follow each position.
Space group P4/mmm (No. 123)
Unique sites:
Y  0.0000  0.5000  0.0000  2 Fe 2.61
Ti  0.0000  0.0000  0.5000  2 Fe 2.14
Fe  0.0000  0.0000  0.0000  2 Ti 2.14
Pd  0.5000  0.5000  0.5000  8 Y 3.38, 4 Ti 3.70

Computed properties:
total magnetization: 0.00 μB/f.u.

=====

*2*
## Y2TiFePd (PBE)

Data for a relaxed structure of Y2TiFePd.

abc: 5.3360 5.3360 4.5426
angles: 90.00 90.00 90.00
Closest atoms and distances in Å follow each position.
Space group P4/mmm (No. 123)
Unique sites:
Y  0.0000  0.5000  0.0000  2 Pd 2.67
Ti  0.0000  0.0000  0.5000  8 Y 3.50, 4 Fe 3.77
Fe  0.5000  0.5000  0.5000  2 Pd 2.27
Pd  0.5000  0.5000  0.0000  2 Fe 2.27

Computed properties:
total magnetization: 2.89 μB/f.u.

=====

Which one is most stable, and which one is least stable? *1* is the most stable of them, while *2* is the least stable.